(1)
Ba4NaCdHg2 after structural relaxation. Source: Alexandria, functional PBE.

As for the total energy: -1.648 eV/atom.

It has space group R-3m (No. 166, hexagonal axes), with a = 6.0746 Å, b = 6.0746 Å, c = 29.8506 Å, α = 90.00°, β = 90.00° and γ = 120.00°. The inequivalent atoms are Ba at (0.0000, 0.0000, 0.1197), Ba at (0.0000, 0.0000, 0.3694), Na at (0.0000, 0.0000, 0.5000), Cd at (0.0000, 0.0000, 0.0000) and Hg at (0.0000, 0.0000, 0.2459).


(2)
Y2ZrP after structural relaxation. Source: Alexandria, functional PBE.

As for the total energy: -7.235 eV/atom.

It has space group P4/mmm (No. 123), with a = 3.5680 Å, b = 3.5680 Å, c = 7.5530 Å, α = 90.00°, β = 90.00° and γ = 90.00°. The inequivalent atoms are Y at (0.0000, 0.0000, 0.2079), Zr at (0.5000, 0.5000, 0.5000) and P at (0.5000, 0.5000, 0.0000).


(3)
TaAlZnOs after structural relaxation. Source: Alexandria, functional PBE.

As for the total energy: -7.297 eV/atom.

It has space group F-43m (No. 216), with a = 6.2426 Å, b = 6.2426 Å, c = 6.2426 Å, α = 90.00°, β = 90.00° and γ = 90.00°. The inequivalent atoms are Ta at (0.0000, 0.0000, 0.0000), Al at (0.0000, 0.0000, 0.5000), Zn at (0.2500, 0.2500, 0.2500) and Os at (0.2500, 0.2500, 0.7500).


(4)
La2UGaRh6 after structural relaxation. Source: Alexandria, functional PBE.

As for the total energy: -7.320 eV/atom.

It has space group P-1 (No. 2), with a = 5.8775 Å, b = 5.8780 Å, c = 7.9586 Å, α = 68.40°, β = 68.40° and γ = 60.16°. The inequivalent atoms are La at (0.2487, 0.2489, 0.2527), U at (0.5000, 0.5000, 0.5000), Ga at (0.0000, 0.0000, 0.0000), Rh at (0.2503, 0.2496, 0.7507), Rh at (0.2512, 0.7442, 0.7543) and Rh at (0.2532, 0.7497, 0.2474).


(5)
DyPuPdPt after structural relaxation. Source: Alexandria, functional PBE.

As for the energy above the most stable polymorph in this dataset: 0.0 meV per atom.

It has space group Amm2 (No. 38), with a = 4.4483 Å, b = 3.7858 Å, c = 10.7162 Å, α = 90.00°, β = 90.00° and γ = 90.00°. The inequivalent atoms are Dy at (0.0000, 0.0000, 0.0000), Pu at (0.5000, 0.0000, 0.7223), Pd at (0.0000, 0.0000, 0.2740) and Pt at (0.5000, 0.0000, 0.4500).


(6)
CsInSe2 after structural relaxation. Source: Alexandria, functional PBE.

As for the formation energy (no corrections): -0.886 eV per atom.

It has space group I-4m2 (No. 119), with a = 4.2153 Å, b = 4.2153 Å, c = 15.4443 Å, α = 90.00°, β = 90.00° and γ = 90.00°. The inequivalent atoms are Cs at (0.0000, 0.0000, 0.0000), In at (0.0000, 0.5000, 0.2500) and Se at (0.0000, 0.0000, 0.3541).


(7)
Be3PtN after structural relaxation. Source: Alexandria, functional PBE.

As for the energy above the most stable polymorph in this dataset: 0.0 meV per atom. As for the formation energy (no corrections): -0.406 eV per atom.

It has space group Pm-3m (No. 221), with a = 3.5779 Å, b = 3.5779 Å, c = 3.5779 Å, α = 90.00°, β = 90.00° and γ = 90.00°. The inequivalent atoms are Be at (0.0000, 0.0000, 0.5000), Pt at (0.5000, 0.5000, 0.5000) and N at (0.0000, 0.0000, 0.0000).


(8)
RbCd3Sb3 after structural relaxation. Source: Alexandria, functional PBE.

As for the energy above the most stable polymorph in this dataset: 0.0 meV per atom. As for the formation energy (no corrections): -0.111 eV per atom.

It has space group Pm-3n (No. 223), with a = 8.0721 Å, b = 8.0721 Å, c = 8.0721 Å, α = 90.00°, β = 90.00° and γ = 90.00°. The inequivalent atoms are Rb at (0.0000, 0.0000, 0.0000), Cd at (0.0000, 0.2500, 0.5000) and Sb at (0.0000, 0.5000, 0.2500).


(9)
TcBOs3 after structural relaxation. Source: Alexandria, functional PBE.

As for the energy above the most stable polymorph in this dataset: 2768.4 meV per atom.

It has space group Pm-3m (No. 221), with a = 4.6641 Å, b = 4.6641 Å, c = 4.6641 Å, α = 90.00°, β = 90.00° and γ = 90.00°. The inequivalent atoms are Tc at (0.0000, 0.0000, 0.0000), B at (0.5000, 0.5000, 0.5000) and Os at (0.0000, 0.0000, 0.5000).


(10)
BaIn2GaF8 after structural relaxation. Source: Alexandria, functional PBE.

As for the formation energy (no corrections): -2.630 eV per atom.

It has space group P-1 (No. 2), with a = 5.0381 Å, b = 5.7260 Å, c = 6.9454 Å, α = 90.29°, β = 91.94° and γ = 90.17°. The inequivalent atoms are Ba at (0.0000, 0.0000, 0.0000), In at (0.4869, 0.5006, 0.7167), Ga at (0.0000, 0.0000, 0.5000), F at (0.1308, 0.2427, 0.6831), F at (0.1338, 0.7597, 0.6803), F at (0.2979, 0.0029, 0.3470) and F at (0.4960, 0.7242, 0.0002).


(11)
InHPt4 after structural relaxation. Source: Alexandria, functional PBE.

As for the total energy: -5.181 eV/atom.

It has space group Cmcm (No. 63), with a = 3.9658 Å, b = 15.5519 Å, c = 5.7044 Å, α = 90.00°, β = 90.00° and γ = 90.00°. The inequivalent atoms are In at (0.0000, 0.0946, 0.2500), H at (0.0000, 0.2529, 0.2500), Pt at (0.0000, 0.0912, 0.7500), Pt at (0.0000, 0.3150, 0.0022) and Pt at (0.0000, 0.5000, 0.0000).


(12)
AcPr2Si after structural relaxation. Source: Alexandria, functional PBE.

As for the energy above the most stable polymorph in this dataset: 0.0 meV per atom. As for the formation energy (no corrections): -0.212 eV per atom.

It has space group P4/mmm (No. 123), with a = 3.9539 Å, b = 3.9539 Å, c = 8.0274 Å, α = 90.00°, β = 90.00° and γ = 90.00°. The inequivalent atoms are Ac at (0.0000, 0.0000, 0.0000), Pr at (0.5000, 0.5000, 0.3130) and Si at (0.0000, 0.0000, 0.5000).


Please write out number 7 again, unchanged.
Be3PtN after structural relaxation. Source: Alexandria, functional PBE.

As for the energy above the most stable polymorph in this dataset: 0.0 meV per atom. As for the formation energy (no corrections): -0.406 eV per atom.

It has space group Pm-3m (No. 221), with a = 3.5779 Å, b = 3.5779 Å, c = 3.5779 Å, α = 90.00°, β = 90.00° and γ = 90.00°. The inequivalent atoms are Be at (0.0000, 0.0000, 0.5000), Pt at (0.5000, 0.5000, 0.5000) and N at (0.0000, 0.0000, 0.0000).